[1]
# K3Dy3AsO8

A geometry-optimized K3Dy3AsO8 structure (PBE, Alexandria).

abc: 7.4208 7.4208 7.4208
angles: 54.29 54.29 54.29
With the nearest neighbours (Å) after each atom.
Positions (direct):
K 0.0000 0.5000 0.5000  6 O 2.79-2.80
K 0.5000 0.0000 0.5000  6 O 2.79-2.80
K 0.5000 0.5000 0.0000  6 O 2.79-2.80
Dy 0.0000 0.0000 0.5000  6 O 2.27-2.32
Dy 0.0000 0.5000 0.0000  6 O 2.27-2.32
Dy 0.5000 0.0000 0.0000  6 O 2.27-2.32
As 0.5000 0.5000 0.5000  6 O 2.07
O 0.2274 0.2274 0.2274  3 Dy 2.27
O 0.2567 0.7074 0.7074  1 As 2.07
O 0.2926 0.2926 0.7433  1 As 2.07
O 0.2926 0.7433 0.2926  1 As 2.07
O 0.7074 0.2567 0.7074  1 As 2.07
O 0.7074 0.7074 0.2567  1 As 2.07
O 0.7433 0.2926 0.2926  1 As 2.07
O 0.7726 0.7726 0.7726  3 Dy 2.27

energy relative to the elements, uncorrected	-2.414	eV/atom
D(E_F)	1.86	states/eV per cell
final energy	-97.618	eV/cell

=====

[2]
# KDyAs2Pd4

A geometry-optimized KDyAs2Pd4 structure (PBE, Alexandria).

abc: 4.0987 4.0987 10.7899
angles: 90.00 90.00 90.00
With the nearest neighbours (Å) after each atom.
Positions (direct):
K 0.0000 0.0000 0.0000  8 As 3.50, 8 Pd 3.91
Dy 0.0000 0.0000 0.5000  8 Pd 2.91
As 0.5000 0.5000 0.1815  4 Pd 2.47
As 0.5000 0.5000 0.8185  4 Pd 2.47
Pd 0.0000 0.5000 0.3089  2 As 2.47
Pd 0.0000 0.5000 0.6911  2 As 2.47
Pd 0.5000 0.0000 0.3089  2 As 2.47
Pd 0.5000 0.0000 0.6911  2 As 2.47

formation energy	-547	meV per atom
D(E_F)	4.77	states/eV per cell
final energy	-40.147	eV/cell

=====

[3]
# KDyAs2Pt4

A geometry-optimized KDyAs2Pt4 structure (PBE, Alexandria).

abc: 4.0491 4.0491 10.9823
angles: 90.00 90.00 90.00
With the nearest neighbours (Å) after each atom.
Positions (direct):
K 0.0000 0.0000 0.0000  8 As 3.47
Dy 0.0000 0.0000 0.5000  8 Pt 2.93
As 0.5000 0.5000 0.1778  4 Pt 2.47
As 0.5000 0.5000 0.8222  4 Pt 2.47
Pt 0.0000 0.5000 0.3069  2 As 2.47
Pt 0.0000 0.5000 0.6931  2 As 2.47
Pt 0.5000 0.0000 0.3069  2 As 2.47
Pt 0.5000 0.0000 0.6931  2 As 2.47

formation energy	-663	meV per atom
D(E_F)	4.20	states/eV per cell
final energy	-44.462	eV/cell

=====

[4]
# K2DyAsS4

A geometry-optimized K2DyAsS4 structure (PBE, Alexandria).

abc: 8.2298 8.2298 8.2298
angles: 120.40 119.60 90.00
With the nearest neighbours (Å) after each atom.
Positions (direct):
K 0.0000 0.0000 0.0000  6 S 3.08
K 0.5000 0.0000 0.0000  6 S 3.15-3.16
K 0.5000 0.0000 0.5000  6 S 3.08
K 0.5000 0.5000 0.5000  6 S 3.15-3.16
Dy 0.0000 0.5000 0.5000  6 S 2.77-2.78
Dy 0.5000 0.5000 0.0000  6 S 2.77-2.78
As 0.0000 0.0000 0.5000  6 S 2.68-2.69
As 0.0000 0.5000 0.0000  6 S 2.68-2.69
S 0.1981 0.7370 0.4611  2 As 2.69, 1 Dy 2.78
S 0.2241 0.2630 0.9611  2 As 2.69, 1 Dy 2.78
S 0.2293 0.2561 0.5268  1 As 2.68, 2 Dy 2.77
S 0.2293 0.7026 0.9732  1 As 2.68, 2 Dy 2.77
S 0.7707 0.2974 0.0268  1 As 2.68, 2 Dy 2.77
S 0.7707 0.7439 0.4732  1 As 2.68, 2 Dy 2.77
S 0.7759 0.7370 0.0389  2 As 2.69, 1 Dy 2.78
S 0.8019 0.2630 0.5389  2 As 2.69, 1 Dy 2.78

energy relative to the elements, uncorrected	-1.153	eV/atom
D(E_F)	0.00	states/eV per cell
final energy	-74.355	eV/cell

=====

[5]
# K2DyAs2S6

A geometry-optimized K2DyAs2S6 structure (PBE, Alexandria).

abc: 6.8674 6.8674 8.3333
angles: 113.31 113.31 62.45
With the nearest neighbours (Å) after each atom.
Positions (direct):
K 0.2000 0.2000 0.1750  5 S 3.19-3.38
K 0.8000 0.8000 0.8250  5 S 3.19-3.38
Dy 0.0000 0.0000 0.5000  6 S 2.68-2.77
As 0.4512 0.4512 0.8067  3 S 2.23-2.24
As 0.5488 0.5488 0.1933  3 S 2.23-2.24
S 0.1904 0.6988 0.2151  1 As 2.24
S 0.2499 0.2499 0.5851  1 As 2.23
S 0.3012 0.8096 0.7849  1 As 2.24
S 0.6988 0.1904 0.2151  1 As 2.24
S 0.7501 0.7501 0.4149  1 As 2.23
S 0.8096 0.3012 0.7849  1 As 2.24

energy relative to the elements, uncorrected	-0.830	eV/atom
D(E_F)	3.57	states/eV per cell
final energy	-49.986	eV/cell

=====

[6]
# La2DyAs3

A geometry-optimized La2DyAs3 structure (PBE, Alexandria).

abc: 9.5904 9.5904 9.5904
angles: 154.08 154.08 36.99
With the nearest neighbours (Å) after each atom.
Positions (direct):
La 0.1653 0.1653 0.0000  6 As 3.01-3.13
La 0.8347 0.8347 0.0000  6 As 3.01-3.13
Dy 0.5000 0.5000 0.0000  6 As 2.96-3.04
As 0.0000 0.0000 0.0000  2 La 3.01, 4 Dy 3.04
As 0.3373 0.3373 0.0000  1 Dy 2.96, 5 La 3.04-3.13
As 0.6627 0.6627 0.0000  1 Dy 2.96, 5 La 3.04-3.13

formation energy	-1533	meV per atom
D(E_F)	0.77	states/eV per cell
final energy	-37.605	eV/cell

=====

[7]
# La3DyAs4

A geometry-optimized La3DyAs4 structure (PBE, Alexandria).

abc: 7.4697 8.6371 7.4726
angles: 90.00 109.51 90.00
With the nearest neighbours (Å) after each atom.
Positions (direct):
La 0.0000 0.1238 0.2500  6 As 3.04-3.11
La 0.0000 0.3729 0.7500  6 As 3.04-3.12
La 0.0000 0.6271 0.2500  6 As 3.04-3.12
La 0.0000 0.8762 0.7500  6 As 3.04-3.11
La 0.5000 0.3731 0.2500  6 As 3.05-3.07
La 0.5000 0.6269 0.7500  6 As 3.05-3.07
Dy 0.5000 0.1235 0.7500  6 As 2.98-3.00
Dy 0.5000 0.8765 0.2500  6 As 2.98-3.00
As 0.2540 0.3701 0.5051  1 Dy 3.00, 5 La 3.04-3.12
As 0.2540 0.6299 0.0051  1 Dy 3.00, 5 La 3.04-3.12
As 0.2596 0.1198 0.9994  2 Dy 2.98-2.99, 4 La 3.04-3.11
As 0.2596 0.8802 0.4994  2 Dy 2.98-2.99, 4 La 3.04-3.11
As 0.7404 0.1198 0.5006  2 Dy 2.98-2.99, 4 La 3.04-3.11
As 0.7404 0.8802 0.0006  2 Dy 2.98-2.99, 4 La 3.04-3.11
As 0.7460 0.3701 0.9949  1 Dy 3.00, 5 La 3.04-3.12
As 0.7460 0.6299 0.4949  1 Dy 3.00, 5 La 3.04-3.12

formation energy	-1551	meV per atom
D(E_F)	2.12	states/eV per cell
final energy	-100.782	eV/cell

=====

[8]
# LaDy3As4

A geometry-optimized LaDy3As4 structure (PBE, Alexandria).

abc: 7.2474 7.2474 4.1877
angles: 90.00 90.00 109.42
With the nearest neighbours (Å) after each atom.
Positions (direct):
La 0.0000 0.0000 0.0000  6 As 3.01
Dy 0.0000 0.5000 0.5000  6 As 2.96
Dy 0.5000 0.0000 0.5000  6 As 2.96
Dy 0.5000 0.5000 0.0000  6 As 2.91
As 0.2544 0.7456 0.0000  5 Dy 2.91-2.96, 1 La 3.01
As 0.2590 0.2590 0.5000  4 Dy 2.91-2.96, 2 La 3.01
As 0.7410 0.7410 0.5000  4 Dy 2.91-2.96, 2 La 3.01
As 0.7456 0.2544 0.0000  5 Dy 2.91-2.96, 1 La 3.01

formation energy	-1531	meV per atom
D(E_F)	0.87	states/eV per cell
final energy	-49.576	eV/cell

=====

[9]
# La5Dy3As8

A geometry-optimized La5Dy3As8 structure (PBE, Alexandria).

abc: 8.5611 8.5611 8.5611
angles: 60.03 60.03 60.03
With the nearest neighbours (Å) after each atom.
Positions (direct):
La 0.0000 0.0000 0.0000  6 As 3.03
La 0.0000 0.5000 0.5000  6 As 3.08
La 0.5000 0.0000 0.5000  6 As 3.08
La 0.5000 0.5000 0.0000  6 As 3.08
La 0.5000 0.5000 0.5000  6 As 3.03
Dy 0.0000 0.0000 0.5000  6 As 2.97-2.98
Dy 0.0000 0.5000 0.0000  6 As 2.97-2.98
Dy 0.5000 0.0000 0.0000  6 As 2.97-2.98
As 0.2409 0.7500 0.7500  2 Dy 2.97, 4 La 3.03-3.08
As 0.2457 0.2457 0.2457  3 Dy 2.98, 3 La 3.08
As 0.2500 0.2500 0.7591  2 Dy 2.97, 4 La 3.03-3.08
As 0.2500 0.7591 0.2500  2 Dy 2.97, 4 La 3.03-3.08
As 0.7500 0.2409 0.7500  2 Dy 2.97, 4 La 3.03-3.08
As 0.7500 0.7500 0.2409  2 Dy 2.97, 4 La 3.03-3.08
As 0.7543 0.7543 0.7543  3 Dy 2.98, 3 La 3.08
As 0.7591 0.2500 0.2500  2 Dy 2.97, 4 La 3.03-3.08

formation energy	-1544	meV per atom
D(E_F)	2.82	states/eV per cell
final energy	-100.343	eV/cell

=====

[10]
# La3DyAs4

A geometry-optimized La3DyAs4 structure (PBE, Alexandria).

abc: 7.4682 7.4682 4.3177
angles: 90.00 90.00 109.44
With the nearest neighbours (Å) after each atom.
Positions (direct):
La 0.0000 0.0000 0.0000  6 As 3.10-3.11
La 0.0000 0.5000 0.5000  6 As 3.05
La 0.5000 0.0000 0.5000  6 As 3.05
Dy 0.5000 0.5000 0.0000  6 As 2.99-3.00
As 0.2546 0.7454 0.0000  1 Dy 2.99, 5 La 3.05-3.10
As 0.2588 0.2588 0.5000  2 Dy 3.00, 4 La 3.05-3.11
As 0.7412 0.7412 0.5000  2 Dy 3.00, 4 La 3.05-3.11
As 0.7454 0.2546 0.0000  1 Dy 2.99, 5 La 3.05-3.10

formation energy	-1550	meV per atom
D(E_F)	0.60	states/eV per cell
final energy	-50.383	eV/cell

=====

[11]
# La4DyAs5

A geometry-optimized La4DyAs5 structure (PBE, Alexandria).

abc: 7.4936 7.4936 7.4936
angles: 99.62 99.62 131.75
With the nearest neighbours (Å) after each atom.
Positions (direct):
La 0.0984 0.2993 0.3976  6 As 3.05-3.12
La 0.2993 0.9016 0.2009  6 As 3.05-3.12
La 0.7007 0.0984 0.7991  6 As 3.05-3.12
La 0.9016 0.7007 0.6024  6 As 3.05-3.12
Dy 0.5000 0.5000 0.0000  6 As 2.99-3.06
As 0.0000 0.0000 0.0000  4 La 3.05, 2 Dy 3.06
As 0.2071 0.5976 0.8047  1 Dy 2.99, 5 La 3.06-3.12
As 0.4024 0.2071 0.6095  1 Dy 2.99, 5 La 3.06-3.12
As 0.5976 0.7929 0.3905  1 Dy 2.99, 5 La 3.06-3.12
As 0.7929 0.4024 0.1953  1 Dy 2.99, 5 La 3.06-3.12

formation energy	-1553	meV per atom
D(E_F)	0.91	states/eV per cell
final energy	-63.089	eV/cell

=====

[12]
# LaDyAs

A geometry-optimized LaDyAs structure (PBE, Alexandria).

abc: 4.7529 4.7529 4.4925
angles: 90.00 90.00 120.00
With the nearest neighbours (Å) after each atom.
Positions (direct):
La 0.0000 0.0000 0.0000  3 As 3.17, 3 Dy 3.54
Dy 0.6667 0.3333 0.4978  3 As 2.83
As 0.3333 0.6667 0.6486  3 Dy 2.83

formation energy	-644	meV per atom
D(E_F)	4.03	states/eV per cell
final energy	-16.112	eV/cell

=====

Question: What is the D(E_F) in the eleventh record?
Answer: 0.91 states/eV per cell